# 1
The following is a PBE calculation of a geometry-optimized KHgW structure, from the Open Quantum Materials Database.

magnetization: 4.6 Bohr magnetons per cell
density: 7.1 Mg/m³
excess energy over the best structure of this formula in the dataset: 0 meV per atom
VASP energy: -8.99 eV for the cell shown

abc: 5.2005 5.2005 5.2005
angles: 60.00 60.00 60.00
Sites, in units of the cell vectors:
1 Hg 0.0000 0.0000 0.0000
2 K 0.2500 0.2500 0.2500
3 W 0.7500 0.7500 0.7500

=====

# 2
The following is a PBE calculation of a geometry-optimized LiLaHg2 structure, from the Open Quantum Materials Database.

magnetization: 0.0 Bohr magnetons per cell
density: 9.0 Mg/m³
excess energy over the best structure of this formula in the dataset: 0 meV per atom
VASP energy: -37.29 eV for the cell shown

abc: 5.2464 7.3673 10.4072
angles: 90.00 90.00 90.00
Sites, in units of the cell vectors:
1 Hg 0.7473 0.0023 0.1259
2 Hg 0.7473 0.4977 0.1259
3 Hg 0.2473 0.5023 0.3741
4 Hg 0.2473 0.9977 0.3741
5 Hg 0.7527 0.0023 0.6259
6 Hg 0.7527 0.4977 0.6259
7 Hg 0.2527 0.5023 0.8741
8 Hg 0.2527 0.9977 0.8741
9 La 0.2476 0.2500 0.1242
10 La 0.7476 0.7500 0.3758
11 La 0.2524 0.2500 0.6242
12 La 0.7524 0.7500 0.8758
13 Li 0.2486 0.7500 0.1250
14 Li 0.7486 0.2500 0.3750
15 Li 0.2514 0.7500 0.6250
16 Li 0.7514 0.2500 0.8750

=====

# 3
The following is a PBE calculation of a geometry-optimized LiLaHg2 structure, from the Open Quantum Materials Database.

magnetization: 0.0 Bohr magnetons per cell
density: 8.4 Mg/m³
excess energy over the best structure of this formula in the dataset: 346 meV per atom
VASP energy: -15.88 eV for the cell shown

abc: 5.2503 5.2503 9.1071
angles: 90.00 90.00 120.00
Sites, in units of the cell vectors:
1 Hg 0.3333 0.6667 0.0896
2 Hg 0.3333 0.6667 0.4104
3 Hg 0.6667 0.3333 0.5896
4 Hg 0.6667 0.3333 0.9104
5 La 0.6667 0.3333 0.2500
6 La 0.3333 0.6667 0.7500
7 Li 0.0000 0.0000 0.2500
8 Li 0.0000 0.0000 0.7500

=====

# 4
The following is a PBE calculation of a geometry-optimized LiLaHg2 structure, from the Open Quantum Materials Database.

magnetization: 0.0 Bohr magnetons per cell
density: 8.9 Mg/m³
excess energy over the best structure of this formula in the dataset: 15 meV per atom
VASP energy: -18.53 eV for the cell shown

abc: 4.9331 4.9331 9.6507
angles: 90.00 90.00 120.00
Sites, in units of the cell vectors:
1 Hg 0.6667 0.3333 0.0813
2 Hg 0.6667 0.3333 0.4187
3 Hg 0.3333 0.6667 0.5813
4 Hg 0.3333 0.6667 0.9187
5 La 0.3333 0.6667 0.2500
6 La 0.6667 0.3333 0.7500
7 Li 0.0000 0.0000 0.0000
8 Li 0.0000 0.0000 0.5000

=====

# 5
The following is a PBE calculation of a geometry-optimized LiLaHg2 structure, from the Open Quantum Materials Database.

magnetization: 0.0 Bohr magnetons per cell
density: 9.0 Mg/m³
excess energy over the best structure of this formula in the dataset: 0 meV per atom
VASP energy: -55.95 eV for the cell shown

abc: 5.2237 7.3832 15.6566
angles: 90.00 90.00 90.00
Sites, in units of the cell vectors:
1 Hg 0.5000 0.2495 0.0000
2 Hg 0.5000 0.7505 0.0000
3 Hg 0.9994 0.2502 0.1667
4 Hg 0.9994 0.7498 0.1667
5 Hg 0.4994 0.2498 0.3333
6 Hg 0.4994 0.7502 0.3333
7 Hg 0.0000 0.2505 0.5000
8 Hg 0.0000 0.7495 0.5000
9 Hg 0.5006 0.2498 0.6667
10 Hg 0.5006 0.7502 0.6667
11 Hg 0.0006 0.2502 0.8333
12 Hg 0.0006 0.7498 0.8333
13 La 0.0000 0.0000 0.0000
14 La 0.4993 0.5000 0.1666
15 La 0.9993 0.0000 0.3334
16 La 0.5000 0.5000 0.5000
17 La 0.0007 0.0000 0.6666
18 La 0.5007 0.5000 0.8334
19 Li 0.0000 0.5000 0.0000
20 Li 0.4996 0.0000 0.1667
21 Li 0.9996 0.5000 0.3333
22 Li 0.5000 0.0000 0.5000
23 Li 0.0004 0.5000 0.6667
24 Li 0.5004 0.0000 0.8333

=====

# 6
The following is a PBE calculation of a geometry-optimized LiLaHg2 structure, from the Open Quantum Materials Database.

magnetization: 0.0 Bohr magnetons per cell
density: 9.5 Mg/m³
excess energy over the best structure of this formula in the dataset: 66 meV per atom
VASP energy: -9.06 eV for the cell shown

abc: 3.5647 3.5647 7.5559
angles: 90.00 90.00 90.00
Sites, in units of the cell vectors:
1 Hg 0.5000 0.5000 0.2945
2 Hg 0.5000 0.5000 0.7055
3 La 0.0000 0.0000 0.0000
4 Li 0.0000 0.0000 0.5000